# AsPdSe2O, relaxed, DFT PBE
# V = 87.3 Å³/cell
# E_tot = -3.8962 eV per atom
# Excess energy over the best structure of this formula in the dataset = 0 meV per atom
# Formation energy from raw total energies = 44 kJ/mol of atoms
# Theoretical density = 6.759 g/cm3
data_AsPdSe2O
_chemical_formula_sum 'As1 Pd1 Se2 O1'
_symmetry_space_group_name_H-M 'P 4/m m m'
_symmetry_Int_Tables_number 123
_symmetry_space_group_name_Hall '-P 4 2'
_cell_length_a 4.477
_cell_length_b 4.477
_cell_length_c 4.354
_cell_angle_alpha 90.00
_cell_angle_beta 90.00
_cell_angle_gamma 90.00
loop_
_atom_site_label
_atom_site_type_symbol
_atom_site_fract_x
_atom_site_fract_y
_atom_site_fract_z
_atom_site_occupancy
As1 As 0.000 0.000 0.000 1
Pd1 Pd 0.500 0.500 0.000 1
Se1 Se 0.000 0.500 0.500 1
O1 O 0.000 0.000 0.500 1